AlV2InO8 (PBE+U, optimized geometry); crystal system = tetragonal; calculated total energy = -6.931 eV/atom; calculated density = 4.39 g cm⁻³
1.0
-1.1399 1.5740 5.3296
3.5109 -4.4544 -0.1169
2.4894 4.3384 -2.6763
O V Al In
8 2 1 1
Cartesian
0.5825 1.5952 1.1851 O
2.8596 1.7012 3.0121 O
0.5188 1.7464 4.1018 O
1.1090 3.9018 2.2202 O
1.8645 -0.6481 4.0321 O
3.7760 1.1583 0.2195 O
2.0802 -0.9911 1.1506 O
2.0000 3.3970 -0.3295 O
1.1855 -1.4402 2.6063 V
1.2675 2.2361 2.6298 V
3.5928 -0.7781 -0.0935 Al
0.0000 0.0000 0.0000 In